This record from Alexandria describes a geometry-optimized NbCo2AgO5 structure. The functional is PBE+U.

## Properties
density of states at the Fermi level: 0.0 states/eV/f.u.
V: 114.5 Å³ per cell
VASP energy: -6.522 eV per atom

a = 5.9688 Å, b = 5.9688 Å, c = 5.9688 Å
α = 138.92°, β = 123.20°, γ = 72.45°
Closest atoms and distances in Å follow each position.
Positions (direct):
Nb1 0.0000 0.0000 0.0000  6 O 1.97-2.09
Co1 0.2262 0.7262 0.5000  2 O 1.91
Co2 0.7738 0.2738 0.5000  2 O 1.91
Ag1 0.5000 0.5000 0.0000  10 O 2.84-2.93
O1 0.0000 0.5000 0.5000  2 Nb 2.09, 2 Co 2.18
O2 0.0930 0.8525 0.2405  1 Co 1.91, 1 Nb 1.97
O3 0.3880 0.1475 0.2405  1 Co 1.91, 1 Nb 1.97
O4 0.6120 0.8525 0.7595  1 Co 1.91, 1 Nb 1.97
O5 0.9070 0.1475 0.7595  1 Co 1.91, 1 Nb 1.97